Density functional theory data (PBE-GGA) for crystalline AcSbTe2 at its relaxed geometry.

Results
Total moment: 0.00 μB per cell
Volume: 31.3 A^3/atom
Electronic total energy: -4.420 eV/atom
Fermi-level density of states: 1.119 states/eV/cell
Mass density: 8.0 g/cm3
Uncorrected formation energy: -0.79 eV/atom
SG: No. 123
E above lowest polymorph: 0.00 eV per formula unit

Cell and atoms, written as POSCAR:
```
AcSbTe2
1.0
5.364 0.000 0.000
0.000 5.364 0.000
0.000 0.000 4.351
Ac Sb Te
1 1 2
direct
0.000 0.000 0.000
0.500 0.500 0.000
0.000 0.500 0.500
0.500 0.000 0.500
```

***

Density functional theory data (PBE-GGA) for crystalline AcSbTe at its relaxed geometry.

Results
Total moment: 0.00 μB per cell
Volume: 38.9 A^3/atom
Electronic total energy: -4.762 eV/atom
Fermi-level density of states: 1.379 states/eV/cell
Mass density: 6.8 g/cm3
Uncorrected formation energy: -0.97 eV/atom
SG: No. 8
E above lowest polymorph: 0.78 eV per formula unit

Cell and atoms, written as POSCAR:
```
AcSbTe
1.0
5.094 -4.627 0.000
5.094 4.627 0.000
-0.002 0.000 4.947
Ac Sb Te
2 2 2
direct
0.236 0.764 0.000
0.764 0.236 0.000
0.274 0.274 0.000
0.462 0.462 0.500
0.037 0.037 0.500
0.727 0.727 0.001
```

***

Density functional theory data (PBE-GGA) for crystalline AcSb4Te at its relaxed geometry.

Results
Total moment: 0.00 μB per cell
Volume: 30.0 A^3/atom
Electronic total energy: -4.233 eV/atom
Fermi-level density of states: 3.776 states/eV/cell
Mass density: 7.8 g/cm3
Uncorrected formation energy: -0.28 eV/atom
SG: No. 216

Cell and atoms, written as POSCAR:
```
AcSb4Te
1.0
0.000 4.484 4.484
4.484 0.000 4.484
4.484 4.484 0.000
Ac Sb Te
1 4 1
direct
0.000 0.000 0.000
0.378 0.378 0.378
0.378 0.378 0.865
0.378 0.865 0.378
0.865 0.378 0.378
0.750 0.750 0.750
```

***

Density functional theory data (PBE-GGA) for crystalline AcSb2Te at its relaxed geometry.

Results
Total moment: 0.00 μB per cell
Volume: 31.2 A^3/atom
Electronic total energy: -4.521 eV/atom
Fermi-level density of states: 3.624 states/eV/cell
Mass density: 8.0 g/cm3
Uncorrected formation energy: -0.65 eV/atom
SG: No. 123
E above lowest polymorph: 0.00 eV per formula unit

Cell and atoms, written as POSCAR:
```
AcSb2Te
1.0
4.647 0.000 0.000
0.000 4.647 0.000
0.000 0.000 5.785
Ac Sb Te
1 2 1
direct
0.000 0.000 0.000
0.000 0.500 0.500
0.500 0.000 0.500
0.500 0.500 0.000
```

***

Density functional theory data (PBE-GGA) for crystalline AcSbTe3 at its relaxed geometry.

Results
Total moment: 0.00 μB per cell
Volume: 34.0 A^3/atom
Electronic total energy: -4.373 eV/atom
Fermi-level density of states: 0.224 states/eV/cell
Mass density: 7.1 g/cm3
Uncorrected formation energy: -0.84 eV/atom
SG: No. 62
E above lowest polymorph: 0.00 eV per formula unit

Cell and atoms, written as POSCAR:
```
AcSbTe3
1.0
9.200 0.000 0.000
0.000 4.665 0.000
0.000 0.000 15.866
Ac Sb Te
4 4 12
direct
0.096 0.250 0.168
0.404 0.750 0.668
0.596 0.250 0.332
0.904 0.750 0.832
0.156 0.750 0.442
0.344 0.250 0.942
0.656 0.750 0.058
0.844 0.250 0.558
0.027 0.750 0.628
0.145 0.750 0.006
0.181 0.250 0.783
0.319 0.750 0.283
0.355 0.250 0.506
0.473 0.250 0.128
0.527 0.750 0.872
0.645 0.750 0.494
0.681 0.250 0.717
0.819 0.750 0.217
0.855 0.250 0.994
0.973 0.250 0.372
```

***

Density functional theory data (PBE-GGA) for crystalline AcSbTe at its relaxed geometry.

Results
Total moment: 0.00 μB per cell
Volume: 33.4 A^3/atom
Electronic total energy: -4.487 eV/atom
Fermi-level density of states: 2.797 states/eV/cell
Mass density: 7.9 g/cm3
Uncorrected formation energy: -0.70 eV/atom
SG: No. 187
E above lowest polymorph: 1.61 eV per formula unit

Cell and atoms, written as POSCAR:
```
AcSbTe
1.0
5.336 0.000 0.000
-2.668 4.621 0.000
0.000 0.000 4.058
Ac Sb Te
1 1 1
direct
0.000 0.000 0.000
0.667 0.333 0.500
0.333 0.667 0.500
```

***

Density functional theory data (PBE-GGA) for crystalline AcSbTe4 at its relaxed geometry.

Results
Total moment: 0.00 μB per cell
Volume: 42.6 A^3/atom
Electronic total energy: -4.014 eV/atom
Fermi-level density of states: 3.365 states/eV/cell
Mass density: 5.6 g/cm3
Uncorrected formation energy: -0.55 eV/atom
SG: No. 11

Cell and atoms, written as POSCAR:
```
AcSbTe4
1.0
6.902 0.000 0.000
0.000 10.794 0.000
-1.320 0.000 6.854
Ac Sb Te
2 2 8
direct
0.121 0.250 0.190
0.879 0.750 0.810
0.419 0.750 0.325
0.581 0.250 0.675
0.179 0.250 0.677
0.199 0.554 0.084
0.199 0.946 0.084
0.377 0.750 0.709
0.623 0.250 0.291
0.801 0.054 0.916
0.801 0.446 0.916
0.821 0.750 0.323
```

***

Density functional theory data (PBE-GGA) for crystalline Ac6SbTe5 at its relaxed geometry.

Results
Total moment: 0.00 μB per cell
Volume: 37.7 A^3/atom
Electronic total energy: -5.174 eV/atom
Fermi-level density of states: 6.933 states/eV/cell
Mass density: 7.8 g/cm3
Uncorrected formation energy: -1.47 eV/atom
SG: No. 12

Cell and atoms, written as POSCAR:
```
Ac6SbTe5
1.0
4.105 -7.113 0.000
4.105 7.113 0.000
-2.734 0.000 7.755
Ac Sb Te
6 1 5
direct
0.082 0.411 0.747
0.246 0.246 0.252
0.411 0.082 0.747
0.589 0.918 0.253
0.754 0.754 0.748
0.918 0.589 0.253
0.000 0.000 0.500
0.168 0.832 0.000
0.333 0.667 0.500
0.500 0.500 0.000
0.667 0.333 0.500
0.832 0.168 0.000
```

***

Density functional theory data (PBE-GGA) for crystalline Ac7Sb5Te at its relaxed geometry.

Results
Total moment: 1.21 μB per cell
Volume: 40.2 A^3/atom
Electronic total energy: -5.138 eV/atom
Fermi-level density of states: 13.896 states/eV/cell
Mass density: 7.4 g/cm3
Uncorrected formation energy: -1.10 eV/atom
SG: No. 8

Cell and atoms, written as POSCAR:
```
Ac7Sb5Te
1.0
7.857 -2.367 0.000
7.857 2.367 0.000
-0.192 0.000 28.071
Ac Sb Te
14 10 2
direct
0.000 0.000 0.000
0.001 0.001 0.571
0.099 0.099 0.285
0.178 0.178 0.786
0.276 0.276 0.500
0.278 0.278 0.071
0.456 0.456 0.857
0.458 0.458 0.713
0.549 0.549 0.429
0.553 0.553 0.141
0.725 0.725 0.930
0.727 0.727 0.641
0.818 0.818 0.357
0.821 0.821 0.214
0.089 0.089 0.891
0.092 0.092 0.680
0.184 0.184 0.391
0.188 0.188 0.180
0.364 0.364 0.960
0.365 0.365 0.610
0.638 0.638 0.535
0.639 0.639 0.035
0.911 0.911 0.461
0.913 0.913 0.111
0.438 0.438 0.289
0.839 0.839 0.783
```

***

Density functional theory data (PBE-GGA) for crystalline AcSbTe2 at its relaxed geometry.

Results
Total moment: 0.00 μB per cell
Volume: 32.6 A^3/atom
Electronic total energy: -4.299 eV/atom
Fermi-level density of states: 2.817 states/eV/cell
Mass density: 7.7 g/cm3
Uncorrected formation energy: -0.67 eV/atom
SG: No. 166
E above lowest polymorph: 0.48 eV per formula unit

Cell and atoms, written as POSCAR:
```
AcSbTe2
1.0
2.733 1.578 5.045
-2.733 1.578 5.045
0.000 -3.155 5.045
Ac Sb Te
1 1 2
direct
0.000 0.000 0.000
0.500 0.500 0.500
0.233 0.233 0.233
0.767 0.767 0.767
```

***

Density functional theory data (PBE-GGA) for crystalline Ac2ThSb2Te2 at its relaxed geometry.

Results
Total moment: 0.00 μB per cell
Volume: 42.0 A^3/atom
Electronic total energy: -5.244 eV/atom
Fermi-level density of states: 0.749 states/eV/cell
Mass density: 6.7 g/cm3
Uncorrected formation energy: -0.93 eV/atom
SG: No. 139

Cell and atoms, written as POSCAR:
```
Ac2ThSb2Te2
1.0
-2.987 2.987 8.243
2.987 -2.987 8.243
2.987 2.987 -8.243
Ac Th Sb Te
2 1 2 2
direct
0.120 0.120 0.000
0.880 0.880 0.000
0.500 0.500 0.000
0.000 0.500 0.500
0.500 0.000 0.500
0.312 0.312 0.000
0.688 0.688 0.000
```

***

Density functional theory data (PBE-GGA) for crystalline AcTl3Sb2Te6 at its relaxed geometry.

Results
Total moment: 0.00 μB per cell
Volume: 36.9 A^3/atom
Electronic total energy: -3.709 eV/atom
Mass density: 6.9 g/cm3
Uncorrected formation energy: -0.52 eV/atom
SG: No. 12

Cell and atoms, written as POSCAR:
```
AcTl3Sb2Te6
1.0
4.003 -6.897 0.000
4.003 6.897 0.000
-2.657 0.000 8.025
Ac Tl Sb Te
1 3 2 6
direct
0.000 0.000 0.000
0.160 0.840 0.500
0.500 0.500 0.500
0.840 0.160 0.500
0.334 0.666 0.000
0.666 0.334 0.000
0.075 0.427 0.221
0.281 0.281 0.785
0.427 0.075 0.221
0.573 0.925 0.779
0.719 0.719 0.215
0.925 0.573 0.779
```

***

Density functional theory data (PBE-GGA) for crystalline Ac4TlSb2Te at its relaxed geometry.

Results
Total moment: 0.00 μB per cell
Volume: 39.0 A^3/atom
Electronic total energy: -4.821 eV/atom
Fermi-level density of states: 5.886 states/eV/cell
Mass density: 7.9 g/cm3
Uncorrected formation energy: -1.05 eV/atom
SG: No. 10

Cell and atoms, written as POSCAR:
```
Ac4TlSb2Te
1.0
8.339 0.000 0.000
0.000 4.712 0.000
-2.699 0.000 7.939
Ac Tl Sb Te
4 1 2 1
direct
0.243 0.000 0.245
0.244 0.500 0.748
0.756 0.500 0.252
0.757 0.000 0.755
0.500 0.000 0.000
0.000 0.000 0.500
0.000 0.500 0.000
0.500 0.500 0.500
```

***

Density functional theory data (PBE-GGA) for crystalline Ac6Tl2SbTe3 at its relaxed geometry.

Results
Total moment: 0.00 μB per cell
Volume: 38.9 A^3/atom
Electronic total energy: -4.629 eV/atom
Fermi-level density of states: 8.387 states/eV/cell
Mass density: 8.1 g/cm3
Uncorrected formation energy: -1.05 eV/atom
SG: No. 12

Cell and atoms, written as POSCAR:
```
Ac6Tl2SbTe3
1.0
10.524 -2.341 0.000
10.524 2.341 0.000
-2.503 0.000 9.479
Ac Tl Sb Te
6 2 1 3
direct
0.003 0.003 0.245
0.334 0.334 0.414
0.335 0.335 0.911
0.665 0.665 0.089
0.666 0.666 0.586
0.997 0.997 0.755
0.169 0.169 0.340
0.831 0.831 0.660
0.500 0.500 0.000
0.164 0.164 0.837
0.500 0.500 0.500
0.836 0.836 0.163
```

***

Density functional theory data (PBE-GGA) for crystalline Ac4TlSbTe2 at its relaxed geometry.

Results
Total moment: 0.00 μB per cell
Volume: 38.9 A^3/atom
Electronic total energy: -4.795 eV/atom
Fermi-level density of states: 3.477 states/eV/cell
Mass density: 7.9 g/cm3
Uncorrected formation energy: -1.14 eV/atom
SG: No. 10

Cell and atoms, written as POSCAR:
```
Ac4TlSbTe2
1.0
8.322 0.000 0.000
0.000 4.718 0.000
-2.707 0.000 7.923
Ac Tl Sb Te
4 1 1 2
direct
0.240 0.000 0.248
0.242 0.500 0.747
0.758 0.500 0.253
0.760 0.000 0.752
0.000 0.000 0.500
0.000 0.500 0.000
0.500 0.000 0.000
0.500 0.500 0.500
```

***

Density functional theory data (PBE-GGA) for crystalline AcTlSbTe at its relaxed geometry.

Results
Total moment: 0.00 μB per cell
Volume: 33.1 A^3/atom
Electronic total energy: -4.100 eV/atom
Fermi-level density of states: 4.440 states/eV/cell
Mass density: 8.5 g/cm3
Uncorrected formation energy: -0.67 eV/atom
SG: No. 216

Cell and atoms, written as POSCAR:
```
AcTlSbTe
1.0
0.000 4.045 4.045
4.045 0.000 4.045
4.045 4.045 0.000
Ac Tl Sb Te
1 1 1 1
direct
0.000 0.000 0.000
0.500 0.500 0.500
0.250 0.250 0.250
0.750 0.750 0.750
```

***

Density functional theory data (PBE-GGA) for crystalline AcTmSbTe at its relaxed geometry.

Results
Total moment: 0.00 μB per cell
Volume: 33.8 A^3/atom
Electronic total energy: -5.134 eV/atom
Fermi-level density of states: 2.880 states/eV/cell
Mass density: 7.9 g/cm3
Uncorrected formation energy: -1.17 eV/atom
SG: No. 160

Cell and atoms, written as POSCAR:
```
AcTmSbTe
1.0
2.209 1.275 8.006
-2.209 1.275 8.006
0.000 -2.551 8.006
Ac Tm Sb Te
1 1 1 1
direct
0.000 0.000 0.000
0.821 0.821 0.821
0.419 0.419 0.419
0.571 0.571 0.571
```

***

Density functional theory data (PBE-GGA) for crystalline AcYSbTe at its relaxed geometry.

Results
Total moment: 0.00 μB per cell
Volume: 33.9 A^3/atom
Electronic total energy: -5.788 eV/atom
Fermi-level density of states: 1.996 states/eV/cell
Mass density: 6.9 g/cm3
Uncorrected formation energy: -1.33 eV/atom
SG: No. 160

Cell and atoms, written as POSCAR:
```
AcYSbTe
1.0
2.285 1.319 7.500
-2.285 1.319 7.500
0.000 -2.639 7.500
Ac Y Sb Te
1 1 1 1
direct
0.000 0.000 0.000
0.507 0.507 0.507
0.245 0.245 0.245
0.761 0.761 0.761
```

***

Density functional theory data (PBE-GGA) for crystalline AcZnSbTe at its relaxed geometry.

Results
Total moment: 0.00 μB per cell
Volume: 36.5 A^3/atom
Electronic total energy: -3.944 eV/atom
Fermi-level density of states: 1.009 states/eV/cell
Mass density: 6.2 g/cm3
Uncorrected formation energy: -0.78 eV/atom
SG: No. 166

Cell and atoms, written as POSCAR:
```
AcZnSbTe
1.0
2.352 1.358 15.228
-2.352 1.358 15.228
0.000 -2.716 15.228
Ac Zn Sb Te
2 2 2 2
direct
0.087 0.087 0.087
0.913 0.913 0.913
0.310 0.310 0.310
0.690 0.690 0.690
0.371 0.371 0.371
0.629 0.629 0.629
0.209 0.209 0.209
0.791 0.791 0.791
```

***

Density functional theory data (PBE-GGA) for crystalline Ac4ThSb5 at its relaxed geometry.

Results
Total moment: 0.00 μB per cell
Volume: 37.5 A^3/atom
Electronic total energy: -5.602 eV/atom
Fermi-level density of states: 2.981 states/eV/cell
Mass density: 7.7 g/cm3
Uncorrected formation energy: -1.16 eV/atom
SG: No. 87
E above lowest polymorph: 0.00 eV per formula unit

Cell and atoms, written as POSCAR:
```
Ac4ThSb5
1.0
-5.291 5.291 3.348
5.291 -5.291 3.348
5.291 5.291 -3.348
Ac Th Sb
4 1 5
direct
0.097 0.699 0.795
0.301 0.097 0.398
0.699 0.903 0.602
0.903 0.301 0.205
0.500 0.500 0.000
0.000 0.000 0.000
0.211 0.403 0.614
0.403 0.789 0.192
0.597 0.211 0.808
0.789 0.597 0.386
```